No. 1
Density functional theory data (PBE-GGA) for K2LaMnRu after structural relaxation.

Lattice parameters (Å, degrees): 6.560 6.560 4.457 90.00 90.00 90.00
Sites, in units of the cell vectors:
K  0.000  0.500  0.000
K  0.500  0.000  0.000
La  0.000  0.000  0.000
Mn  0.000  0.000  0.500
Ru  0.500  0.500  0.500

Results
Symmetry: P4/mmm, No. 123
Total DFT energy (no corrections), eV/atom: -3.33
Size of the total moment, μB per formula unit: 3.9
Energy of formation, eV per atom: 1.786
Volume, Å³ per atom: 38.364
ρ, g/cm³: 3.23

No. 2
Density functional theory data (PBE-GGA) for LaWAu2 after structural relaxation.

Lattice parameters (Å, degrees): 5.405 2.970 5.516 90.00 111.84 90.00
Sites, in units of the cell vectors:
La  0.000  0.000  0.000
W  0.000  0.500  0.500
Au  0.500  0.000  0.500
Au  0.500  0.500  0.000

Results
Symmetry: P2/m, No. 10
Total DFT energy (no corrections), eV/atom: -5.75
Size of the total moment, μB per formula unit: 0.0
Energy of formation, eV per atom: 0.361
Volume, Å³ per atom: 20.551
ρ, g/cm³: 14.48
Relative energy among the computed polymorphs, eV per formula unit: 0.91

No. 3
Density functional theory data (PBE-GGA) for Th2MnSi3 after structural relaxation.

Lattice parameters (Å, degrees): 8.243 8.217 5.862 69.38 68.90 41.72
Sites, in units of the cell vectors:
Th  0.245  0.755  0.245
Th  0.250  0.250  0.250
Th  0.750  0.750  0.750
Th  0.755  0.245  0.755
Mn  0.165  0.165  0.835
Mn  0.835  0.835  0.165
Si  0.163  0.667  0.837
Si  0.329  0.329  0.671
Si  0.333  0.837  0.667
Si  0.667  0.163  0.333
Si  0.671  0.671  0.329
Si  0.837  0.333  0.163

Results
Raw formation energy, eV/atom: -0.63
Symmetry: Fmmm, No. 69
Total DFT energy (no corrections), eV/atom: -7.34
Size of the total moment, μB per formula unit: 1.9
Volume, Å³ per atom: 20.357
ρ, g/cm³: 8.20
Relative energy among the computed polymorphs, eV per formula unit: 0.00

No. 4
Density functional theory data (PBE-GGA) for K2MgIn4Sn3 after structural relaxation.

Lattice parameters (Å, degrees): 5.069 5.069 12.368 90.00 90.00 90.00
Sites, in units of the cell vectors:
K  0.000  0.500  0.247
K  0.500  0.000  0.753
Mg  0.000  0.000  0.500
In  0.000  0.000  0.000
In  0.000  0.500  0.633
In  0.500  0.000  0.367
In  0.500  0.500  0.000
Sn  0.000  0.500  0.867
Sn  0.500  0.000  0.133
Sn  0.500  0.500  0.500

Results
Symmetry: P-4m2, No. 115
Total DFT energy (no corrections), eV/atom: -2.81
Size of the total moment, μB per formula unit: 0.0
Energy of formation, eV per atom: -0.140
Volume, Å³ per atom: 31.780
ρ, g/cm³: 4.80

No. 5
Density functional theory data (PBE-GGA) for NbMo2PdPb after structural relaxation.

Lattice parameters (Å, degrees): 4.702 4.702 5.413 90.00 90.00 90.00
Sites, in units of the cell vectors:
Nb  0.000  0.000  0.000
Mo  0.000  0.500  0.000
Mo  0.500  0.000  0.000
Pd  0.500  0.500  0.500
Pb  0.000  0.000  0.500

Results
Symmetry: P4/mmm, No. 123
Total DFT energy (no corrections), eV/atom: -6.50
Size of the total moment, μB per formula unit: 0.0
Energy of formation, eV per atom: 1.625
Volume, Å³ per atom: 23.938
ρ, g/cm³: 8.30

No. 6
Density functional theory data (PBE-GGA) for Rb3YSe after structural relaxation.

Lattice parameters (Å, degrees): 6.880 6.880 6.880 90.00 90.00 90.00
Sites, in units of the cell vectors:
Rb  0.000  0.000  0.500
Rb  0.000  0.500  0.000
Rb  0.500  0.000  0.000
Y  0.000  0.000  0.000
Se  0.500  0.500  0.500

Results
Raw formation energy, eV/atom: 0.77
Symmetry: Pm-3m, No. 221
Total DFT energy (no corrections), eV/atom: -1.80
Size of the total moment, μB per formula unit: 2.0
Volume, Å³ per atom: 65.131
ρ, g/cm³: 2.16
Relative energy among the computed polymorphs, eV per formula unit: 3.64

No. 7
Density functional theory data (PBE-GGA) for PrErTm2Se4 after structural relaxation.

Lattice parameters (Å, degrees): 7.049 4.007 7.207 90.00 108.45 90.00
Sites, in units of the cell vectors:
Pr  0.000  0.000  0.000
Er  0.500  0.500  0.000
Tm  0.000  0.500  0.500
Tm  0.500  0.000  0.500
Se  0.255  0.000  0.741
Se  0.264  0.500  0.266
Se  0.736  0.500  0.734
Se  0.745  0.000  0.259

Results
Raw formation energy, eV/atom: -1.71
Symmetry: P2/m, No. 10
Total DFT energy (no corrections), eV/atom: -5.74
Size of the total moment, μB per formula unit: 0.0
Volume, Å³ per atom: 24.138
ρ, g/cm³: 8.27

No. 8
Density functional theory data (PBE-GGA) for Ho2PuAg3Se6 after structural relaxation.

Lattice parameters (Å, degrees): 9.072 9.072 7.997 99.17 99.17 26.73
Sites, in units of the cell vectors:
Ho  0.167  0.167  0.343
Ho  0.833  0.833  0.657
Pu  0.500  0.500  0.000
Ag  0.158  0.158  0.857
Ag  0.500  0.500  0.500
Ag  0.842  0.842  0.143
Se  0.003  0.003  0.253
Se  0.331  0.331  0.411
Se  0.332  0.332  0.903
Se  0.668  0.668  0.097
Se  0.669  0.669  0.589
Se  0.997  0.997  0.747

Results
Raw formation energy, eV/atom: -1.07
Symmetry: C2/m, No. 12
Total DFT energy (no corrections), eV/atom: -5.48
Size of the total moment, μB per formula unit: 5.0
Volume, Å³ per atom: 24.332
ρ, g/cm³: 7.80